# PBE-GGA YMg2Cu4, relaxed
data_YMg2Cu4
_chemical_formula_sum 'Y2 Mg4 Cu8'
_cell_length_a 6.623
_cell_length_b 6.623
_cell_length_c 5.327
_cell_angle_alpha 90.00
_cell_angle_beta 90.00
_cell_angle_gamma 90.00
_symmetry_space_group_name_H-M 'I 4/m m m'
_symmetry_Int_Tables_number 139
_symmetry_space_group_name_Hall '-I 4 2'
loop_
_atom_site_label
_atom_site_fract_x
_atom_site_fract_y
_atom_site_fract_z
Y1 0.000 0.000 0.000
Mg1 0.000 0.500 0.250
Cu1 0.187 0.187 0.500
# - polymorph energy (0 for the lowest one) (meV/atom) = 0
# - ΔH_f (0 K) (meV per atom) = -182

***

# PBE-GGA TlAsP3, relaxed
data_TlAsP3
_chemical_formula_sum 'Tl1 As1 P3'
_cell_length_a 4.835
_cell_length_b 4.835
_cell_length_c 4.835
_cell_angle_alpha 90.00
_cell_angle_beta 90.00
_cell_angle_gamma 90.00
_symmetry_space_group_name_H-M 'P m -3 m'
_symmetry_Int_Tables_number 221
_symmetry_space_group_name_Hall '-P 4 2 3'
loop_
_atom_site_label
_atom_site_fract_x
_atom_site_fract_y
_atom_site_fract_z
Tl1 0.000 0.000 0.000
As1 0.500 0.500 0.500
P1 0.000 0.500 0.500
# - polymorph energy (0 for the lowest one) (meV/atom) = 0
# - ΔH_f (0 K) (meV per atom) = 828

***

# PBE-GGA Hf2TiPb, relaxed
data_Hf2TiPb
_chemical_formula_sum 'Hf6 Ti3 Pb3'
_cell_length_a 3.2305
_cell_length_b 3.2305
_cell_length_c 29.5392
_cell_angle_alpha 90.00
_cell_angle_beta 90.00
_cell_angle_gamma 120.00
_symmetry_space_group_name_H-M 'R -3 m'
_symmetry_Int_Tables_number 166
_symmetry_space_group_name_Hall '-R 3 2"'
loop_
_atom_site_label
_atom_site_fract_x
_atom_site_fract_y
_atom_site_fract_z
Hf1 0.0000 0.0000 0.2451
Ti1 0.0000 0.0000 0.5000
Pb1 0.0000 0.0000 0.0000
# - ΔH_f (0 K) (meV per atom) = 93

***

| no. | total magnetization (μB per cell) |
| --- | --- |
| 1 | 0.00 |
| 2 | 0.00 |
| 3 | 0.00 |